A PBEsol-optimized structure of Li4V3Cr3Sn2O16. Source: the Alexandria database, functional SCAN.

Results
E_form (uncorrected) (eV per atom): -2.408
DFT total energy (eV per atom): -12.72
Calculated volume (A^3/atom): 10.1

Cell: 10.083 5.812 9.669 Å, 90.00 90.36 90.00°
Space group Cm (No. 8)
Inequivalent atoms, fractional coordinates:
Li1 0.000 0.000 0.000 x2
Li2 0.001 0.000 0.499 x2
Li3 0.164 0.500 0.599 x2
Li4 0.330 0.000 0.095 x2
V1 0.086 0.266 0.278 x4
V2 0.174 0.000 0.777 x2
Cr1 0.332 0.500 0.277 x2
Cr2 0.413 0.247 0.777 x4
Sn1 0.167 0.500 0.997 x2
Sn2 0.333 0.000 0.501 x2
O1 0.002 0.000 0.686 x2
O2 0.003 0.000 0.188 x2
O3 0.013 0.500 0.151 x2
O4 0.080 0.237 0.889 x4
O5 0.160 0.000 0.388 x2
O6 0.169 0.500 0.392 x2
O7 0.240 0.276 0.157 x4
O8 0.256 0.227 0.654 x4
O9 0.330 0.000 0.887 x2
O10 0.341 0.500 0.891 x2
O11 0.422 0.258 0.390 x4
O12 0.481 0.000 0.659 x2